No. 1
Here is an optimized crystal structure of YBPdF2 from the Alexandria database. Energies are from PBE.

The space group is P4/mmm (No. 123) and the conventional cell measures 4.0823, 4.0823 and 5.6909 Å, with angles of 90.00, 90.00 and 90.00 degrees. The asymmetric unit holds Y at (0.0000, 0.0000, 0.0000), B at (0.5000, 0.5000, 0.0000), Pd at (0.0000, 0.0000, 0.5000) and F at (0.0000, 0.5000, 0.5000).

Its crystal system is tetragonal. The total energy is -4.68 eV per atom.

No. 2
Here is an optimized crystal structure of PmBF from the Alexandria database. Energies are from PBE.

The space group is C2/m (No. 12) and the conventional cell measures 7.2542, 3.2425 and 7.7761 Å, with angles of 90.00, 106.20 and 90.00 degrees. The asymmetric unit holds Pm at (0.0746, 0.0000, 0.2449), B at (0.2172, 0.5000, 0.9958) and F at (0.1732, 0.0000, 0.5932).

Its crystal system is monoclinic. The total energy is -6.32 eV per atom.

No. 3
Here is an optimized crystal structure of Pm2BF from the Alexandria database. Energies are from PBE.

The space group is R-3m (No. 166, hexagonal axes) and the conventional cell measures 3.8547, 3.8547 and 18.2594 Å, with angles of 90.00, 90.00 and 120.00 degrees. The asymmetric unit holds Pm at (0.0000, 0.0000, 0.2458), B at (0.0000, 0.0000, 0.5000) and F at (0.0000, 0.0000, 0.0000).

Its crystal system is trigonal. The total energy is -5.79 eV per atom.